This record from Alexandria describes a geometry-optimized Ba6Sr2Ac structure. The functional is PBE.

Values from the calculation:
crystal system	hexagonal
energy of formation	0.05	eV per atom
calculated total energy	-2.058	eV per atom

Lattice parameters (Å, degrees): 4.312 4.312 32.628 90.00 90.00 120.00
Sites, in units of the cell vectors:
1 Ba 0.333 0.667 0.562
2 Ba 0.333 0.667 0.438
3 Ba 0.333 0.667 0.216
4 Ba 0.667 0.333 0.898
5 Ba 0.333 0.667 0.784
6 Ba 0.667 0.333 0.102
7 Ac 0.333 0.667 0.000
8 Sr 0.667 0.333 0.327
9 Sr 0.667 0.333 0.673